[1]
Ba2InGa3Pd4: relaxed, PBE.

Results
DOS at the Fermi energy	0.38	states/eV/atom
ΔE_f	-652.3	meV/atom
space-group type	P-4m2 (115)

Cell: 4.599 4.599 10.699 Å, 90.00 90.00 90.00°
Fractional coordinates of all 10 atoms:
Pd1 0.000 0.500 0.361
Pd2 0.500 0.000 0.639
Ga1 0.000 0.000 0.500
Ga2 0.000 0.500 0.113
Pd3 0.000 0.000 0.000
Ba1 0.500 0.000 0.239
In1 0.500 0.500 0.500
Ga3 0.500 0.000 0.887
Pd4 0.500 0.500 0.000
Ba2 0.000 0.500 0.761

***

[2]
LiMnMo2: relaxed, PBE.

Results
DOS at the Fermi energy	1.14	states/eV/atom
ΔE_f	394.5	meV/atom
polymorph energy (0 for the lowest one)	0.116	eV/atom
space-group type	P4mm (99)

Cell: 2.639 2.639 8.824 Å, 90.00 90.00 90.00°
Fractional coordinates of all 4 atoms:
Mo1 0.500 0.500 0.248
Mo2 0.000 0.000 0.985
Mn1 0.500 0.500 0.757
Li1 0.000 0.000 0.510

***

[3]
PrSm6Tl2: relaxed, PBE.

Results
DOS at the Fermi energy	1.32	states/eV/atom
ΔE_f	-145.6	meV/atom
space-group type	C2/m (12)

Cell: 3.839 6.846 12.038 Å, 74.52 80.83 73.72°
Fractional coordinates of all 9 atoms:
Sm1 0.311 0.504 0.874
Pr1 0.000 0.000 0.000
Sm2 0.991 0.675 0.344
Sm3 0.309 0.799 0.583
Sm4 0.691 0.201 0.417
Tl1 0.360 0.067 0.214
Sm5 0.009 0.325 0.656
Tl2 0.640 0.933 0.786
Sm6 0.689 0.496 0.126

***

[4]
Sm3Y2Ho5: relaxed, PBE.

Results
DOS at the Fermi energy	1.69	states/eV/atom
ΔE_f	268.8	meV/atom
polymorph energy (0 for the lowest one)	0.070	eV/atom
space-group type	Ibam (72)

Cell: 6.655 11.006 11.006 Å, 62.02 72.40 72.40°
Fractional coordinates of all 20 atoms:
Ho1 0.431 0.819 0.819
Ho2 0.250 0.500 0.500
Ho3 0.750 0.500 0.500
Sm1 0.828 0.887 0.458
Y1 0.531 0.203 0.734
Ho4 0.569 0.181 0.181
Ho5 0.931 0.819 0.819
Sm2 0.250 0.000 0.000
Ho6 0.669 0.241 0.420
Sm3 0.672 0.542 0.113
Ho7 0.169 0.420 0.241
Y2 0.969 0.266 0.797
Ho8 0.831 0.580 0.759
Y3 0.469 0.797 0.266
Y4 0.031 0.734 0.203
Ho9 0.331 0.759 0.580
Sm4 0.328 0.458 0.887
Sm5 0.172 0.113 0.542
Sm6 0.750 0.000 0.000
Ho10 0.069 0.181 0.181

***

[5]
La2TbNd2Dy2: relaxed, PBE.

Results
DOS at the Fermi energy	1.63	states/eV/atom
ΔE_f	23.8	meV/atom
space-group type	C2/m (12)

Cell: 5.159 6.302 8.178 Å, 97.44 90.00 114.16°
Fractional coordinates of all 7 atoms:
La1 0.142 0.284 0.426
La2 0.858 0.716 0.574
Dy1 0.570 0.141 0.716
Dy2 0.430 0.859 0.284
Nd1 0.285 0.570 0.860
Nd2 0.715 0.430 0.140
Tb1 0.000 0.000 0.000

***

[6]
Yb3U: relaxed, PBE.

Results
DOS at the Fermi energy	4.36	states/eV/atom
ΔE_f	443.9	meV/atom
space-group type	Fm-3m (225)

Cell: 5.658 5.658 5.658 Å, 60.00 60.00 60.00°
Fractional coordinates of all 4 atoms:
Yb1 0.500 0.500 0.500
Yb2 0.750 0.750 0.750
U1 0.000 0.000 0.000
Yb3 0.250 0.250 0.250

***

[7]
BaYMo2: relaxed, PBE.

Results
DOS at the Fermi energy	0.99	states/eV/atom
ΔE_f	728.8	meV/atom
polymorph energy (0 for the lowest one)	0.295	eV/atom
space-group type	C2/m (12)

Cell: 5.629 5.629 6.815 Å, 67.73 67.73 38.52°
Fractional coordinates of all 4 atoms:
Mo1 0.502 0.502 0.631
Y1 0.750 0.750 0.750
Mo2 0.998 0.998 0.869
Ba1 0.250 0.250 0.250

***

[8]
LiSiAg: relaxed, PBE.

Results
DOS at the Fermi energy	0.30	states/eV/atom
raw formation energy	0.2	eV/f.u.
polymorph energy (0 for the lowest one)	0.153	eV/atom
space-group type	P3m1 (156)

Cell: 2.857 2.857 6.711 Å, 90.00 90.00 120.00°
Fractional coordinates of all 3 atoms:
Li1 0.333 0.667 0.341
Si1 0.667 0.333 0.662
Ag1 0.000 0.000 0.997

***

[9]
Er6Zn5Ni: relaxed, PBE.

Results
DOS at the Fermi energy	0.73	states/eV/atom
ΔE_f	-364.0	meV/atom
space-group type	Cmmm (65)

Cell: 4.958 7.012 7.826 Å, 90.00 71.56 90.00°
Fractional coordinates of all 12 atoms:
Zn1 0.669 0.500 0.662
Er1 0.162 0.246 0.676
Ni1 0.000 0.000 0.000
Zn2 0.327 0.000 0.345
Er2 0.838 0.754 0.324
Zn3 0.331 0.500 0.338
Er3 0.162 0.754 0.676
Er4 0.500 0.759 0.000
Er5 0.838 0.246 0.324
Zn4 0.000 0.500 0.000
Zn5 0.673 0.000 0.655
Er6 0.500 0.241 0.000

***

[10]
La2Ga3Pd5: relaxed, PBE.

Results
DOS at the Fermi energy	0.60	states/eV/atom
ΔE_f	-815.7	meV/atom
polymorph energy (0 for the lowest one)	0.000	eV/atom
space-group type	Ibam (72)

Cell: 5.952 8.688 8.688 Å, 77.88 69.97 69.97°
Fractional coordinates of all 20 atoms:
Pd1 0.096 0.079 0.729
Pd2 0.750 0.500 0.500
La1 0.865 0.408 0.862
Pd3 0.036 0.214 0.214
Ga1 0.857 0.743 0.543
Ga2 0.643 0.457 0.257
Ga3 0.250 0.000 0.000
Ga4 0.750 0.000 0.000
Pd4 0.596 0.729 0.079
Pd5 0.464 0.786 0.786
Ga5 0.143 0.257 0.457
Pd6 0.964 0.786 0.786
Pd7 0.904 0.921 0.271
La2 0.365 0.862 0.408
La3 0.135 0.592 0.138
Pd8 0.536 0.214 0.214
Ga6 0.357 0.543 0.743
Pd9 0.404 0.271 0.921
La4 0.635 0.138 0.592
Pd10 0.250 0.500 0.500

***

[11]
K3La3PaS8: relaxed, PBE.

Results
DOS at the Fermi energy	0.22	states/eV/atom
raw formation energy	-27.9	eV/f.u.
space-group type	R-3m (166)

Cell: 8.500 8.500 8.913 Å, 118.50 90.00 120.00°
Fractional coordinates of all 15 atoms:
S1 0.250 0.027 0.303
K1 0.500 0.500 0.000
S2 0.223 0.447 0.697
S3 0.750 0.973 0.697
S4 0.736 0.471 0.707
S5 0.777 0.027 0.303
K2 0.000 0.000 0.000
K3 0.000 0.500 0.000
La1 0.500 0.500 0.500
S6 0.264 0.529 0.293
S7 0.223 0.973 0.697
La2 0.500 0.000 0.500
Pa1 0.000 0.000 0.500
La3 0.000 0.500 0.500
S8 0.777 0.553 0.303

***

[12]
H2RhO: relaxed, PBE.

Results
DOS at the Fermi energy	0.30	states/eV/atom
polymorph energy (0 for the lowest one)	0.387	eV/atom
space-group type	Fm-3m (225)

Cell: 3.380 3.380 3.380 Å, 60.00 60.00 60.00°
Fractional coordinates of all 4 atoms:
H1 0.750 0.750 0.750
H2 0.250 0.250 0.250
O1 0.000 0.000 0.000
Rh1 0.500 0.500 0.500

***

[13]
HfTiAu: relaxed, PBE.

Results
DOS at the Fermi energy	0.64	states/eV/atom
ΔE_f	-358.5	meV/atom
polymorph energy (0 for the lowest one)	0.000	eV/atom
space-group type	P4/nmm (129)

Cell: 3.526 3.526 9.136 Å, 90.00 90.00 90.00°
Fractional coordinates of all 6 atoms:
Hf1 0.500 0.000 0.755
Ti1 0.000 0.500 0.563
Au1 0.000 0.500 0.908
Au2 0.500 0.000 0.092
Ti2 0.500 0.000 0.437
Hf2 0.000 0.500 0.245

***

[14]
MgReOs2: relaxed, PBE.

Results
DOS at the Fermi energy	0.82	states/eV/atom
ΔE_f	457.5	meV/atom
space-group type	Cmm2 (35)

Cell: 2.714 2.714 9.192 Å, 90.00 90.00 115.44°
Fractional coordinates of all 4 atoms:
Re1 0.000 0.000 0.492
Os1 0.500 0.500 0.251
Mg1 0.500 0.500 0.754
Os2 0.000 0.000 0.004

***

[15]
Mg2Hg4Bi: relaxed, PBE.

Results
DOS at the Fermi energy	0.35	states/eV/atom
ΔE_f	-39.3	meV/atom
space-group type	P2/m (10)

Cell: 3.621 4.948 10.170 Å, 102.73 90.00 90.00°
Fractional coordinates of all 7 atoms:
Hg1 0.000 0.696 0.397
Hg2 0.500 0.844 0.684
Bi1 0.000 0.000 0.000
Mg1 0.500 0.580 0.155
Hg3 0.500 0.156 0.316
Hg4 0.000 0.304 0.603
Mg2 0.500 0.420 0.845

***

[16]
CdHgMo2: relaxed, PBE.

Results
DOS at the Fermi energy	0.55	states/eV/atom
ΔE_f	554.5	meV/atom
polymorph energy (0 for the lowest one)	0.243	eV/atom
space-group type	C2/m (12)

Cell: 5.846 5.439 2.789 Å, 85.70 70.27 116.80°
Fractional coordinates of all 4 atoms:
Hg1 0.500 0.500 0.000
Mo1 0.500 0.000 0.500
Cd1 0.000 0.500 0.500
Mo2 0.000 0.000 0.000

***

[17]
Ce2PuAs4Rh3: relaxed, PBE.

Results
DOS at the Fermi energy	1.90	states/eV/atom
ΔE_f	-841.9	meV/atom
space-group type	P-4m2 (115)

Cell: 4.344 4.344 10.793 Å, 90.00 90.00 90.00°
Fractional coordinates of all 10 atoms:
Rh1 0.000 0.000 0.500
Pu1 0.500 0.500 0.500
As1 0.500 0.500 0.000
As2 0.000 0.000 0.000
As3 0.500 0.000 0.667
Rh2 0.500 0.000 0.894
Ce1 0.000 0.500 0.774
Ce2 0.500 0.000 0.226
As4 0.000 0.500 0.333
Rh3 0.000 0.500 0.106

***

[18]
Sr2CuPbS: relaxed, PBE.

Results
DOS at the Fermi energy	0.43	states/eV/atom
raw formation energy	-3.7	eV/f.u.
space-group type	P4/mmm (123)

Cell: 5.900 4.304 5.900 Å, 90.00 90.00 90.00°
Fractional coordinates of all 5 atoms:
Pb1 0.500 0.500 0.500
Sr1 0.500 0.000 0.000
S1 0.000 0.000 0.000
Cu1 0.000 0.500 0.000
Sr2 0.000 0.000 0.500

***

[19]
Pa2TeOs: relaxed, PBE.

Results
DOS at the Fermi energy	1.14	states/eV/atom
raw formation energy	-2.2	eV/f.u.
polymorph energy (0 for the lowest one)	0.051	eV/atom
space-group type	R3m (160)

Cell: 4.006 4.006 7.944 Å, 75.40 75.40 60.00°
Fractional coordinates of all 4 atoms:
Te1 0.499 0.499 0.503
Pa1 0.266 0.266 0.202
Os1 0.668 0.668 0.995
Pa2 0.067 0.067 0.799

***

[20]
PmNd4Ag: relaxed, PBE.

Results
DOS at the Fermi energy	1.57	states/eV/atom
ΔE_f	-66.1	meV/atom
polymorph energy (0 for the lowest one)	0.000	eV/atom
space-group type	P4/mmm (123)

Cell: 3.695 3.695 14.248 Å, 90.00 90.00 90.00°
Fractional coordinates of all 6 atoms:
Pm1 0.000 0.000 0.000
Ag1 0.500 0.500 0.500
Nd1 0.000 0.000 0.636
Nd2 0.000 0.000 0.364
Nd3 0.500 0.500 0.820
Nd4 0.500 0.500 0.180